1.
The following is a GGA-PBE calculation of ZnHg5 after structural relaxation, from Alexandria via LeMat-Bulk.

Computed properties:
Formation enthalpy at 0 K ... 8 kJ/mol of atoms

```
data_ZnHg5
_cell_length_a 6.2135
_cell_length_b 6.2135
_cell_length_c 4.5937
_cell_angle_alpha 90.00
_cell_angle_beta 90.00
_cell_angle_gamma 120.00
_symmetry_space_group_name_H-M 'P -6 2 m'
_symmetry_Int_Tables_number 189
_symmetry_space_group_name_Hall 'P -6 -2'
loop_
_atom_site_label
_atom_site_type_symbol
_atom_site_fract_x
_atom_site_fract_y
_atom_site_fract_z
_atom_site_occupancy
Zn1 Zn 0.0000 0.0000 0.0000 1
Hg1 Hg 0.0000 0.6933 0.5000 1
Hg2 Hg 0.3333 0.6667 0.0000 1
```


2.
The following is a GGA-PBE calculation of LaHg3Ru after structural relaxation, from Alexandria via LeMat-Bulk.

Computed properties:
Formation enthalpy at 0 K ... 131 kJ/mol of atoms

```
data_LaHg3Ru
_cell_length_a 5.906
_cell_length_b 5.906
_cell_length_c 5.906
_cell_angle_alpha 90.00
_cell_angle_beta 90.00
_cell_angle_gamma 90.00
_symmetry_space_group_name_H-M 'P m -3 m'
_symmetry_Int_Tables_number 221
_symmetry_space_group_name_Hall '-P 4 2 3'
loop_
_atom_site_label
_atom_site_type_symbol
_atom_site_fract_x
_atom_site_fract_y
_atom_site_fract_z
_atom_site_occupancy
La1 La 0.000 0.000 0.000 1
Hg1 Hg 0.000 0.000 0.500 1
Ru1 Ru 0.500 0.500 0.500 1
```


3.
The following is a GGA-PBE calculation of YIr2Pb2 after structural relaxation, from Alexandria via LeMat-Bulk.

Computed properties:
Formation enthalpy at 0 K ... -4 kJ/mol of atoms

```
data_YIr2Pb2
_cell_length_a 4.280
_cell_length_b 4.280
_cell_length_c 12.737
_cell_angle_alpha 90.00
_cell_angle_beta 90.00
_cell_angle_gamma 90.00
_symmetry_space_group_name_H-M 'I 4/m m m'
_symmetry_Int_Tables_number 139
_symmetry_space_group_name_Hall '-I 4 2'
loop_
_atom_site_label
_atom_site_type_symbol
_atom_site_fract_x
_atom_site_fract_y
_atom_site_fract_z
_atom_site_occupancy
Y1 Y 0.000 0.000 0.000 1
Ir1 Ir 0.000 0.000 0.405 1
Pb1 Pb 0.000 0.500 0.250 1
```


4.
The following is a GGA-PBE calculation of Cs3K5Rb after structural relaxation, from Alexandria via LeMat-Bulk.

Computed properties:
Formation enthalpy at 0 K ... 2 kJ/mol of atoms

```
data_Cs3K5Rb
_cell_length_a 13.8848
_cell_length_b 13.8848
_cell_length_c 9.4825
_cell_angle_alpha 90.00
_cell_angle_beta 90.00
_cell_angle_gamma 120.00
_symmetry_space_group_name_H-M 'P 63/m c m'
_symmetry_Int_Tables_number 193
_symmetry_space_group_name_Hall '-P 6c 2'
loop_
_atom_site_label
_atom_site_type_symbol
_atom_site_fract_x
_atom_site_fract_y
_atom_site_fract_z
_atom_site_occupancy
Cs1 Cs 0.0000 0.3467 0.2500 1
K1 K 0.0000 0.3221 0.7500 1
K2 K 0.3333 0.6667 0.0000 1
Rb1 Rb 0.0000 0.0000 0.0000 1
```


5.
The following is a GGA-PBE calculation of CsSrTl2N after structural relaxation, from Alexandria via LeMat-Bulk.

Computed properties:
Raw formation energy ... 1.006 eV/atom

```
data_CsSrTl2N
_cell_length_a 6.488
_cell_length_b 6.488
_cell_length_c 4.611
_cell_angle_alpha 90.00
_cell_angle_beta 90.00
_cell_angle_gamma 90.00
_symmetry_space_group_name_H-M 'P 4/m m m'
_symmetry_Int_Tables_number 123
_symmetry_space_group_name_Hall '-P 4 2'
loop_
_atom_site_label
_atom_site_type_symbol
_atom_site_fract_x
_atom_site_fract_y
_atom_site_fract_z
_atom_site_occupancy
Cs1 Cs 0.000 0.000 0.000 1
Sr1 Sr 0.500 0.500 0.500 1
Tl1 Tl 0.000 0.500 0.000 1
N1 N 0.000 0.000 0.500 1
```


6.
The following is a GGA-PBE calculation of CoNi3P2 after structural relaxation, from Alexandria via LeMat-Bulk.

Computed properties:
Formation enthalpy at 0 K ... -47 kJ/mol of atoms

```
data_CoNi3P2
_cell_length_a 4.911
_cell_length_b 11.220
_cell_length_c 4.944
_cell_angle_alpha 90.00
_cell_angle_beta 90.00
_cell_angle_gamma 90.00
_symmetry_space_group_name_H-M 'I b a m'
_symmetry_Int_Tables_number 72
_symmetry_space_group_name_Hall '-I 2 2c'
loop_
_atom_site_label
_atom_site_type_symbol
_atom_site_fract_x
_atom_site_fract_y
_atom_site_fract_z
_atom_site_occupancy
Co1 Co 0.000 0.000 0.250 1
Ni1 Ni 0.000 0.500 0.250 1
Ni2 Ni 0.248 0.318 0.000 1
P1 P 0.239 0.126 0.000 1
```


7.
The following is a GGA-PBE calculation of PmPuCl5 after structural relaxation, from Alexandria via LeMat-Bulk.

Computed properties:
Raw formation energy ... -1.976 eV/atom

```
data_PmPuCl5
_cell_length_a 11.861
_cell_length_b 8.787
_cell_length_c 9.953
_cell_angle_alpha 90.00
_cell_angle_beta 113.61
_cell_angle_gamma 90.00
_symmetry_space_group_name_H-M 'C 1 2/c 1'
_symmetry_Int_Tables_number 15
_symmetry_space_group_name_Hall '-C 2yc'
loop_
_atom_site_label
_atom_site_type_symbol
_atom_site_fract_x
_atom_site_fract_y
_atom_site_fract_z
_atom_site_occupancy
Pm1 Pm 0.000 0.040 0.250 1
Pu1 Pu 0.000 0.500 0.000 1
Cl1 Cl 0.000 0.359 0.250 1
Cl2 Cl 0.020 0.179 0.957 1
Cl3 Cl 0.246 0.046 0.355 1
```


8.
The following is a GGA-PBE calculation of AgRhBr2 after structural relaxation, from Alexandria via LeMat-Bulk.

Computed properties:
Raw formation energy ... 0.302 eV/atom

```
data_AgRhBr2
_cell_length_a 3.766
_cell_length_b 3.817
_cell_length_c 6.625
_cell_angle_alpha 90.00
_cell_angle_beta 90.00
_cell_angle_gamma 90.00
_symmetry_space_group_name_H-M 'P m m m'
_symmetry_Int_Tables_number 47
_symmetry_space_group_name_Hall '-P 2 2'
loop_
_atom_site_label
_atom_site_type_symbol
_atom_site_fract_x
_atom_site_fract_y
_atom_site_fract_z
_atom_site_occupancy
Ag1 Ag 0.000 0.000 0.000 1
Rh1 Rh 0.000 0.500 0.500 1
Br1 Br 0.500 0.000 0.500 1
Br2 Br 0.500 0.500 0.000 1
```


9.
The following is a GGA-PBE calculation of KLi2Au after structural relaxation, from Alexandria via LeMat-Bulk.

Computed properties:
Formation enthalpy at 0 K ... -17 kJ/mol of atoms

```
data_KLi2Au
_cell_length_a 4.164
_cell_length_b 4.346
_cell_length_c 6.867
_cell_angle_alpha 90.00
_cell_angle_beta 105.15
_cell_angle_gamma 90.00
_symmetry_space_group_name_H-M 'P 1 m 1'
_symmetry_Int_Tables_number 6
_symmetry_space_group_name_Hall 'P -2y'
loop_
_atom_site_label
_atom_site_type_symbol
_atom_site_fract_x
_atom_site_fract_y
_atom_site_fract_z
_atom_site_occupancy
K1 K 0.000 0.000 0.000 1
Li1 Li 0.303 0.000 0.529 1
Li2 Li 0.781 0.500 0.491 1
Au1 Au 0.386 0.500 0.735 1
```


10.
The following is a GGA-PBE calculation of K2LaW after structural relaxation, from Alexandria via LeMat-Bulk.

Computed properties:
Formation enthalpy at 0 K ... 139 kJ/mol of atoms

```
data_K2LaW
_cell_length_a 8.120
_cell_length_b 8.120
_cell_length_c 8.120
_cell_angle_alpha 90.00
_cell_angle_beta 90.00
_cell_angle_gamma 90.00
_symmetry_space_group_name_H-M 'F -4 3 m'
_symmetry_Int_Tables_number 216
_symmetry_space_group_name_Hall 'F -4 2 3'
loop_
_atom_site_label
_atom_site_type_symbol
_atom_site_fract_x
_atom_site_fract_y
_atom_site_fract_z
_atom_site_occupancy
K1 K 0.000 0.000 0.000 1
K2 K 0.250 0.250 0.250 1
La1 La 0.250 0.250 0.750 1
W1 W 0.000 0.000 0.500 1
```


11.
The following is a GGA-PBE calculation of KSbRu after structural relaxation, from Alexandria via LeMat-Bulk.

Computed properties:
Raw formation energy ... 0.098 eV/atom

```
data_KSbRu
_cell_length_a 3.401
_cell_length_b 3.401
_cell_length_c 12.936
_cell_angle_alpha 90.00
_cell_angle_beta 90.00
_cell_angle_gamma 90.00
_symmetry_space_group_name_H-M 'I 4 m m'
_symmetry_Int_Tables_number 107
_symmetry_space_group_name_Hall 'I 4 -2'
loop_
_atom_site_label
_atom_site_type_symbol
_atom_site_fract_x
_atom_site_fract_y
_atom_site_fract_z
_atom_site_occupancy
K1 K 0.000 0.000 0.000 1
Sb1 Sb 0.000 0.000 0.714 1
Ru1 Ru 0.000 0.000 0.302 1
```


12.
The following is a GGA-PBE calculation of BeAuSe after structural relaxation, from Alexandria via LeMat-Bulk.

Computed properties:
Raw formation energy ... 0.091 eV/atom

```
data_BeAuSe
_cell_length_a 5.922
_cell_length_b 5.922
_cell_length_c 5.922
_cell_angle_alpha 90.00
_cell_angle_beta 90.00
_cell_angle_gamma 90.00
_symmetry_space_group_name_H-M 'F -4 3 m'
_symmetry_Int_Tables_number 216
_symmetry_space_group_name_Hall 'F -4 2 3'
loop_
_atom_site_label
_atom_site_type_symbol
_atom_site_fract_x
_atom_site_fract_y
_atom_site_fract_z
_atom_site_occupancy
Be1 Be 0.000 0.000 0.000 1
Au1 Au 0.250 0.250 0.250 1
Se1 Se 0.250 0.250 0.750 1
```


13.
The following is a GGA-PBE calculation of MgAlSb after structural relaxation, from Alexandria via LeMat-Bulk.

Computed properties:
Raw formation energy ... -0.013 eV/atom

```
data_MgAlSb
_cell_length_a 4.156
_cell_length_b 4.156
_cell_length_c 7.919
_cell_angle_alpha 90.00
_cell_angle_beta 90.00
_cell_angle_gamma 90.00
_symmetry_space_group_name_H-M 'P 4/n m m'
_symmetry_Int_Tables_number 129
loop_
_symmetry_equiv_pos_as_xyz
'x,y,z'
'-x,-y,-z'
'-y+1/2,x,z'
'y+1/2,-x,-z'
'-x+1/2,-y+1/2,z'
'x+1/2,y+1/2,-z'
'y,-x+1/2,z'
'-y,x+1/2,-z'
'x+1/2,-y,-z'
'-x+1/2,y,z'
'-y,-x,-z'
'y,x,z'
'-x,y+1/2,-z'
'x,-y+1/2,z'
'y+1/2,x+1/2,-z'
'-y+1/2,-x+1/2,z'
loop_
_atom_site_label
_atom_site_type_symbol
_atom_site_fract_x
_atom_site_fract_y
_atom_site_fract_z
_atom_site_occupancy
Mg1 Mg 0.250 0.250 0.185 1
Al1 Al 0.250 0.750 0.500 1
Sb1 Sb 0.250 0.250 0.804 1
```


14.
The following is a GGA-PBE calculation of Tb4PmSmEr2 after structural relaxation, from Alexandria via LeMat-Bulk.

Computed properties:
Formation enthalpy at 0 K ... 2 kJ/mol of atoms

```
data_Tb4PmSmEr2
_cell_length_a 5.040
_cell_length_b 5.051
_cell_length_c 10.070
_cell_angle_alpha 90.00
_cell_angle_beta 90.00
_cell_angle_gamma 90.00
_symmetry_space_group_name_H-M 'P m m m'
_symmetry_Int_Tables_number 47
_symmetry_space_group_name_Hall '-P 2 2'
loop_
_atom_site_label
_atom_site_type_symbol
_atom_site_fract_x
_atom_site_fract_y
_atom_site_fract_z
_atom_site_occupancy
Tb1 Tb 0.000 0.000 0.249 1
Tb2 Tb 0.500 0.500 0.250 1
Pm1 Pm 0.500 0.000 0.500 1
Sm1 Sm 0.000 0.500 0.000 1
Er1 Er 0.000 0.500 0.500 1
Er2 Er 0.500 0.000 0.000 1
```


15.
The following is a GGA-PBE calculation of La2ZrSnN5 after structural relaxation, from Alexandria via LeMat-Bulk.

Computed properties:
Raw formation energy ... -0.846 eV/atom

```
data_La2ZrSnN5
_cell_length_a 3.474
_cell_length_b 14.413
_cell_length_c 10.774
_cell_angle_alpha 90.00
_cell_angle_beta 90.00
_cell_angle_gamma 90.00
_symmetry_space_group_name_H-M 'C m c 21'
_symmetry_Int_Tables_number 36
_symmetry_space_group_name_Hall 'C 2c -2'
loop_
_atom_site_label
_atom_site_type_symbol
_atom_site_fract_x
_atom_site_fract_y
_atom_site_fract_z
_atom_site_occupancy
La1 La 0.000 0.118 0.000 1
La2 La 0.000 0.133 0.581 1
Zr1 Zr 0.000 0.223 0.298 1
Sn1 Sn 0.000 0.484 0.771 1
N1 N 0.000 0.064 0.354 1
N2 N 0.000 0.284 0.941 1
N3 N 0.000 0.300 0.669 1
N4 N 0.000 0.369 0.306 1
N5 N 0.000 0.499 0.579 1
```


16.
The following is a GGA-PBE calculation of Te2PtF after structural relaxation, from Alexandria via LeMat-Bulk.

Computed properties:
Raw formation energy ... -0.289 eV/atom

```
data_Te2PtF
_cell_length_a 3.1189
_cell_length_b 3.1189
_cell_length_c 28.5459
_cell_angle_alpha 90.00
_cell_angle_beta 90.00
_cell_angle_gamma 120.00
_symmetry_space_group_name_H-M 'R -3 m'
_symmetry_Int_Tables_number 166
_symmetry_space_group_name_Hall '-R 3 2"'
loop_
_atom_site_label
_atom_site_type_symbol
_atom_site_fract_x
_atom_site_fract_y
_atom_site_fract_z
_atom_site_occupancy
Te1 Te 0.0000 0.0000 0.0919 1
Pt1 Pt 0.0000 0.0000 0.0000 1
F1 F 0.0000 0.0000 0.5000 1
```


17.
The following is a GGA-PBE calculation of MgPaInRu after structural relaxation, from Alexandria via LeMat-Bulk.

Computed properties:
Formation enthalpy at 0 K ... -6 kJ/mol of atoms

```
data_MgPaInRu
_cell_length_a 6.842
_cell_length_b 6.842
_cell_length_c 6.842
_cell_angle_alpha 90.00
_cell_angle_beta 90.00
_cell_angle_gamma 90.00
_symmetry_space_group_name_H-M 'F -4 3 m'
_symmetry_Int_Tables_number 216
_symmetry_space_group_name_Hall 'F -4 2 3'
loop_
_atom_site_label
_atom_site_type_symbol
_atom_site_fract_x
_atom_site_fract_y
_atom_site_fract_z
_atom_site_occupancy
Mg1 Mg 0.000 0.000 0.000 1
Pa1 Pa 0.250 0.250 0.250 1
In1 In 0.250 0.250 0.750 1
Ru1 Ru 0.000 0.000 0.500 1
```


18.
The following is a GGA-PBE calculation of LaZrMn2 after structural relaxation, from Alexandria via LeMat-Bulk.

Computed properties:
Formation enthalpy at 0 K ... 58 kJ/mol of atoms

```
data_LaZrMn2
_cell_length_a 7.442
_cell_length_b 7.442
_cell_length_c 6.033
_cell_angle_alpha 90.00
_cell_angle_beta 90.00
_cell_angle_gamma 90.00
_symmetry_space_group_name_H-M 'I -4 2 d'
_symmetry_Int_Tables_number 122
_symmetry_space_group_name_Hall 'I -4 2bw'
loop_
_atom_site_label
_atom_site_type_symbol
_atom_site_fract_x
_atom_site_fract_y
_atom_site_fract_z
_atom_site_occupancy
La1 La 0.000 0.000 0.000 1
Zr1 Zr 0.000 0.000 0.500 1
Mn1 Mn 0.237 0.750 0.625 1
```


19.
The following is a GGA-PBE calculation of CaCu2F8 after structural relaxation, from Alexandria via LeMat-Bulk.

Computed properties:
Raw formation energy ... -1.878 eV/atom

```
data_CaCu2F8
_cell_length_a 3.859
_cell_length_b 6.733
_cell_length_c 6.736
_cell_angle_alpha 60.05
_cell_angle_beta 89.98
_cell_angle_gamma 89.98
_symmetry_space_group_name_H-M 'P -1'
_symmetry_Int_Tables_number 2
_symmetry_space_group_name_Hall '-P 1'
loop_
_atom_site_label
_atom_site_type_symbol
_atom_site_fract_x
_atom_site_fract_y
_atom_site_fract_z
_atom_site_occupancy
Ca1 Ca 0.000 0.000 0.000 1
Cu1 Cu 0.269 0.333 0.333 1
F1 F 0.229 0.667 0.667 1
F2 F 0.275 0.172 0.653 1
F3 F 0.275 0.175 0.172 1
F4 F 0.275 0.652 0.175 1
```


20.
The following is a GGA-PBE calculation of KLiBe2 after structural relaxation, from Alexandria via LeMat-Bulk.

Computed properties:
Formation enthalpy at 0 K ... 93 kJ/mol of atoms

```
data_KLiBe2
_cell_length_a 4.829
_cell_length_b 4.829
_cell_length_c 6.713
_cell_angle_alpha 90.00
_cell_angle_beta 90.00
_cell_angle_gamma 90.00
_symmetry_space_group_name_H-M 'I -4 m 2'
_symmetry_Int_Tables_number 119
_symmetry_space_group_name_Hall 'I -4 -2'
loop_
_atom_site_label
_atom_site_type_symbol
_atom_site_fract_x
_atom_site_fract_y
_atom_site_fract_z
_atom_site_occupancy
K1 K 0.000 0.000 0.000 1
Li1 Li 0.000 0.500 0.250 1
Be1 Be 0.000 0.000 0.500 1
Be2 Be 0.000 0.500 0.750 1
```


| no. | D(E_F) (states/eV per cell) |
| --- | --- |
| 1 | 1.52 |
| 2 | 4.84 |
| 3 | 5.19 |
| 4 | 17.72 |
| 5 | 4.31 |
| 6 | 12.86 |
| 7 | 60.55 |
| 8 | 4.86 |
| 9 | 1.21 |
| 10 | 14.89 |
| 11 | 1.80 |
| 12 | 6.19 |
| 13 | 2.52 |
| 14 | 10.97 |
| 15 | 19.17 |
| 16 | 9.79 |
| 17 | 10.02 |
| 18 | 16.74 |
| 19 | 9.35 |
| 20 | 6.42 |